Compound: V3Ga2O8
Source: Alexandria via LeMat-Bulk
Functional: PBE+U
Structure: optimized geometry

Lattice parameters (Å, degrees): 6.057 6.534 8.358 90.00 90.00 117.61
Atoms (fractional coordinates):
V: 0.000 0.000 0.000
O: 0.635 0.767 0.018
O: 0.510 0.020 0.747
V: 0.113 0.725 0.250
O: 0.747 0.493 0.738
O: 0.632 0.767 0.482
O: 0.990 0.980 0.247
O: 0.865 0.233 0.518
O: 0.132 0.767 0.018
O: 0.368 0.233 0.518
O: 0.868 0.233 0.982
O: 0.490 0.980 0.253
V: 0.500 0.000 0.500
O: 0.247 0.493 0.762
V: 0.613 0.725 0.250
Ga: 0.379 0.759 0.888
O: 0.253 0.507 0.262
Ga: 0.121 0.241 0.388
V: 0.887 0.275 0.750
O: 0.365 0.233 0.982
O: 0.753 0.507 0.238
O: 0.010 0.020 0.753
V: 0.387 0.275 0.750
Ga: 0.621 0.241 0.112
O: 0.135 0.767 0.482
Ga: 0.879 0.759 0.612

Results
VASP energy = -7.183 eV per atom
Space-group type = Cmce